GGA+U CoPdN2F, relaxed; calculated volume = 10.60 A^3/atom; ΔE to the lowest computed polymorph = 0.0 meV/atom; calculated total energy = -4.9360 eV per atom; DOS at the Fermi energy = 3.32 states/eV/cell
1.0
-2.135 -0.242 -3.028
2.945 -1.071 -1.991
-0.770 -3.672 0.836
N Co Pd F
2 1 1 1
Direct
0.000 0.500 0.000 N
0.500 0.000 0.000 N
0.000 0.000 0.000 Co
0.500 0.500 0.500 Pd
0.000 0.000 0.500 F